CaOs2Br (GGA-PBE, optimized geometry); energy relative to the elements, uncorrected = 1.03 eV/atom; space-group type = Cmmm (65)
1.0
5.787 0.000 0.000
-3.519 4.594 0.000
0.000 0.000 2.919
Os Br Ca
2 1 1
direct
0.000 0.000 0.000 Os
0.500 0.500 0.000 Os
0.500 0.000 0.500 Br
0.000 0.500 0.500 Ca


CaOs2Br (GGA-PBE, optimized geometry); energy relative to the elements, uncorrected = 1.50 eV/atom; space-group type = Fm-3m (225)
1.0
-2.147 0.005 4.114
-4.633 -0.190 0.200
-2.100 -3.847 1.525
Os Ca Br
2 1 1
direct
0.250 0.250 0.250 Os
0.750 0.750 0.750 Os
0.000 0.000 0.000 Ca
0.500 0.500 0.500 Br


CaOs2Br (GGA-PBE, optimized geometry); energy relative to the elements, uncorrected = 1.24 eV/atom; space-group type = P4/mmm (123)
1.0
3.001 0.000 0.000
0.000 3.001 0.000
0.000 0.000 8.070
Os Br Ca
2 1 1
direct
0.000 0.000 0.466 Os
0.000 0.000 0.034 Os
0.500 0.500 0.250 Br
0.500 0.500 0.750 Ca


CaOs2Br (GGA-PBE, optimized geometry); energy relative to the elements, uncorrected = 0.54 eV/atom; space-group type = Pmmm (47)
1.0
3.295 0.000 0.000
0.000 4.065 0.000
0.000 0.000 6.178
Br Os Ca
1 2 1
direct
0.500 0.000 0.500 Br
0.500 0.500 0.000 Os
0.000 0.000 0.000 Os
0.000 0.500 0.500 Ca


CaOs2Br (GGA-PBE, optimized geometry); energy relative to the elements, uncorrected = 1.12 eV/atom; space-group type = R-3m (166)
1.0
9.521 0.012 0.007
9.054 2.945 0.007
9.054 1.441 2.568
Os Ca Br
2 1 1
direct
0.505 0.505 0.505 Os
0.995 0.995 0.995 Os
0.750 0.750 0.750 Ca
0.250 0.250 0.250 Br


CaOs2Br (GGA-PBE, optimized geometry); energy relative to the elements, uncorrected = 1.05 eV/atom; space-group type = F-43m (216)
1.0
-1.915 4.239 0.714
-4.458 0.813 -1.270
-3.319 0.559 3.289
Os Ca Br
2 1 1
direct
0.250 0.250 0.250 Os
0.000 0.000 0.000 Os
0.750 0.750 0.750 Ca
0.500 0.500 0.500 Br


Computed values of relative energy among the computed polymorphs (unit: meV per atom) for the preceding records, in sequence: 959 1433 1167 470 1051 980.